# 1
This record from Alexandria via LeMat-Bulk describes an optimized crystal structure of LiMg2S2. The functional is PBEsol.

abc: 6.8864 6.8864 3.4938
angles: 90.00 90.00 90.00
Sites, in units of the cell vectors:
Li (0.0000, 0.0000, 0.0000)
Li (0.5000, 0.5000, 0.0000)
Mg (0.1494, 0.3506, 0.5000)
Mg (0.3506, 0.8506, 0.5000)
Mg (0.6494, 0.1494, 0.5000)
Mg (0.8506, 0.6494, 0.5000)
S (0.1639, 0.6639, 0.0000)
S (0.3361, 0.1639, 0.0000)
S (0.6639, 0.8361, 0.0000)
S (0.8361, 0.3361, 0.0000)

Computed properties:
The density of states at the Fermi level is 1.89 states/eV/cell. As for the total moment: 0.00 Bohr magnetons per cell. The symmetry is P4/mbm (127). The electronic total energy is -0.281 Ry/atom. The uncorrected formation energy is -991 meV/atom.

---

# 2
This record from Alexandria via LeMat-Bulk describes an optimized crystal structure of Al4Cr. The functional is PBEsol.

abc: 4.8647 4.8647 4.8647
angles: 97.19 97.19 138.57
Sites, in units of the cell vectors:
Al (0.1016, 0.2896, 0.3912)
Al (0.2896, 0.8984, 0.1879)
Al (0.7104, 0.1016, 0.8121)
Al (0.8984, 0.7104, 0.6088)
Cr (0.5000, 0.5000, 0.0000)

Computed properties:
The formation energy comes out at -56 meV/atom. For the excess energy over the best structure of this formula in the dataset, the calculation gives 0.0 meV per atom. The density of states at the Fermi level is 2.36 states/eV/cell. As for the total moment: 0.46 Bohr magnetons per cell. The symmetry is I4/m (87). The electronic total energy is -0.395 Ry/atom.

---

# 3
This record from Alexandria via LeMat-Bulk describes an optimized crystal structure of NaZnP2HO7. The functional is PBEsol.

abc: 6.5040 6.5255 6.6733
angles: 66.84 84.05 87.81
Sites, in units of the cell vectors:
Na (0.1633, 0.3116, 0.2384)
Na (0.8367, 0.6884, 0.7616)
Zn (0.3536, 0.7196, 0.3786)
Zn (0.6464, 0.2804, 0.6214)
P (0.1425, 0.2607, 0.7171)
P (0.3763, 0.8336, 0.8638)
P (0.6237, 0.1664, 0.1362)
P (0.8575, 0.7393, 0.2829)
H (0.2071, 0.5646, 0.7991)
H (0.7929, 0.4354, 0.2009)
O (0.0377, 0.7624, 0.3999)
O (0.0940, 0.3852, 0.8696)
O (0.2066, 0.0148, 0.8761)
O (0.2935, 0.7259, 0.7157)
O (0.3324, 0.3636, 0.5515)
O (0.3772, 0.6628, 0.0963)
O (0.4212, 0.0487, 0.2457)
O (0.5788, 0.9513, 0.7543)
O (0.6228, 0.3372, 0.9037)
O (0.6676, 0.6364, 0.4485)
O (0.7065, 0.2741, 0.2843)
O (0.7934, 0.9852, 0.1239)
O (0.9060, 0.6148, 0.1304)
O (0.9623, 0.2376, 0.6001)

Computed properties:
The density of states at the Fermi level is 0.00 states/eV/cell. As for the total moment: 0.00 Bohr magnetons per cell. The symmetry is P-1 (2). The electronic total energy is -0.481 Ry/atom.

---

- What is the formula in the first record?
  LiMg2S2